LaV2Cl after structural relaxation. Source: Alexandria via LeMat-Bulk, functional GGA-PBE.

- energy above the most stable polymorph in this dataset (meV per atom) = 523
- space group = Fm-3m
- formation energy (no corrections) (eV/atom) = 0.855
- energy (eV per atom) = -5.40

a = 4.622 Å, b = 4.622 Å, c = 4.622 Å
α = 60.00°, β = 60.00°, γ = 60.00°
Element x y z (fractional)
La1 0.000 0.000 0.000
V1 0.250 0.250 0.250
V2 0.750 0.750 0.750
Cl1 0.500 0.500 0.500

---

Rb2LaGa after structural relaxation. Source: Alexandria via LeMat-Bulk, functional GGA-PBE.

- space group = I-42d
- energy (eV per atom) = -2.09

a = 9.551 Å, b = 9.551 Å, c = 9.551 Å
α = 95.40°, β = 95.40°, γ = 144.26°
Element x y z (fractional)
Rb1 0.375 0.245 0.370
Rb2 0.755 0.125 0.130
Rb3 0.875 0.005 0.630
Rb4 0.995 0.625 0.870
La1 0.250 0.750 0.500
La2 0.500 0.500 0.000
Ga1 0.000 0.000 0.000
Ga2 0.750 0.250 0.500

---

PmPuGaSb after structural relaxation. Source: Alexandria via LeMat-Bulk, functional GGA-PBE.

- space group = F-43m
- formation energy (no corrections) (eV/atom) = -0.485
- energy (eV per atom) = -7.04

a = 5.278 Å, b = 5.278 Å, c = 5.278 Å
α = 60.00°, β = 60.00°, γ = 60.00°
Element x y z (fractional)
Pm1 0.000 0.000 0.000
Pu1 0.500 0.500 0.500
Ga1 0.750 0.750 0.750
Sb1 0.250 0.250 0.250

---

ErLuMg2 after structural relaxation. Source: Alexandria via LeMat-Bulk, functional GGA-PBE.

- energy above the most stable polymorph in this dataset (meV per atom) = 0
- space group = Fm-3m
- energy (eV per atom) = -3.13

a = 5.304 Å, b = 5.304 Å, c = 5.304 Å
α = 60.00°, β = 60.00°, γ = 60.00°
Element x y z (fractional)
Er1 0.000 0.000 0.000
Lu1 0.500 0.500 0.500
Mg1 0.250 0.250 0.250
Mg2 0.750 0.750 0.750

---

VTe2Os after structural relaxation. Source: Alexandria via LeMat-Bulk, functional GGA-PBE.

- energy above the most stable polymorph in this dataset (meV per atom) = 71
- space group = I-42d
- formation energy (no corrections) (eV/atom) = 0.559
- energy (eV per atom) = -6.10

a = 7.465 Å, b = 7.465 Å, c = 7.465 Å
α = 132.85°, β = 132.85°, γ = 68.88°
Element x y z (fractional)
V1 0.000 0.000 0.000
V2 0.750 0.250 0.500
Te1 0.139 0.625 0.014
Te2 0.375 0.389 0.514
Te3 0.611 0.125 0.986
Te4 0.875 0.861 0.486
Os1 0.250 0.750 0.500
Os2 0.500 0.500 0.000

---

BaAl2ZnNi after structural relaxation. Source: Alexandria via LeMat-Bulk, functional GGA-PBE.

- space group = P4/mmm
- energy (eV per atom) = -3.53

a = 4.693 Å, b = 4.693 Å, c = 4.857 Å
α = 90.00°, β = 90.00°, γ = 90.00°
Element x y z (fractional)
Ba1 0.000 0.000 0.000
Al1 0.000 0.500 0.500
Al2 0.500 0.000 0.500
Zn1 0.500 0.500 0.000
Ni1 0.500 0.500 0.500

---

SrTe2AuN after structural relaxation. Source: Alexandria via LeMat-Bulk, functional GGA-PBE.

- energy above the most stable polymorph in this dataset (meV per atom) = 907
- space group = P4/mmm
- formation energy (no corrections) (eV/atom) = 1.033
- energy (eV per atom) = -2.88

a = 6.224 Å, b = 6.224 Å, c = 4.781 Å
α = 90.00°, β = 90.00°, γ = 90.00°
Element x y z (fractional)
Sr1 0.000 0.000 0.000
Te1 0.000 0.500 0.000
Te2 0.500 0.000 0.000
Au1 0.500 0.500 0.500
N1 0.000 0.000 0.500

---

BeCd2Cl after structural relaxation. Source: Alexandria via LeMat-Bulk, functional GGA-PBE.

- energy above the most stable polymorph in this dataset (meV per atom) = 489
- space group = Pmmm
- formation energy (no corrections) (eV/atom) = 0.303
- energy (eV per atom) = -1.55

a = 2.972 Å, b = 4.757 Å, c = 5.888 Å
α = 90.00°, β = 90.00°, γ = 90.00°
Element x y z (fractional)
Be1 0.000 0.000 0.000
Cd1 0.000 0.500 0.500
Cd2 0.500 0.500 0.000
Cl1 0.500 0.000 0.500

---

BeCu2NiN after structural relaxation. Source: Alexandria via LeMat-Bulk, functional GGA-PBE.

- space group = P4/mmm
- formation energy (no corrections) (eV/atom) = 0.577
- energy (eV per atom) = -4.63

a = 4.331 Å, b = 4.331 Å, c = 2.973 Å
α = 90.00°, β = 90.00°, γ = 90.00°
Element x y z (fractional)
Be1 0.000 0.000 0.000
Cu1 0.000 0.500 0.000
Cu2 0.500 0.000 0.000
Ni1 0.500 0.500 0.500
N1 0.000 0.000 0.500

---

CrCuSb2 after structural relaxation. Source: Alexandria via LeMat-Bulk, functional GGA-PBE.

- energy above the most stable polymorph in this dataset (meV per atom) = 234
- space group = I-42d
- formation energy (no corrections) (eV/atom) = 0.375
- energy (eV per atom) = -5.12

a = 6.084 Å, b = 6.084 Å, c = 6.084 Å
α = 105.62°, β = 105.62°, γ = 117.49°
Element x y z (fractional)
Cr1 0.000 0.000 0.000
Cr2 0.750 0.250 0.500
Cu1 0.250 0.750 0.500
Cu2 0.500 0.500 0.000
Sb1 0.146 0.125 0.521
Sb2 0.375 0.854 0.979
Sb3 0.604 0.625 0.479
Sb4 0.875 0.396 0.021

---

Er2SnRh2 after structural relaxation. Source: Alexandria via LeMat-Bulk, functional GGA-PBE.

- space group = Immm
- energy (eV per atom) = -6.44

a = 5.493 Å, b = 5.493 Å, c = 5.493 Å
α = 132.72°, β = 115.79°, γ = 83.49°
Element x y z (fractional)
Er1 0.204 0.204 0.000
Er2 0.796 0.796 0.000
Sn1 0.500 0.000 0.500
Rh1 0.228 0.500 0.728
Rh2 0.772 0.500 0.272

---

TaPSe2 after structural relaxation. Source: Alexandria via LeMat-Bulk, functional GGA-PBE.

- space group = R-3m
- formation energy (no corrections) (eV/atom) = -0.105
- energy (eV per atom) = -6.16

a = 8.846 Å, b = 8.846 Å, c = 8.846 Å
α = 21.89°, β = 21.89°, γ = 21.89°
Element x y z (fractional)
Ta1 0.000 0.000 0.000
P1 0.500 0.500 0.500
Se1 0.401 0.401 0.401
Se2 0.599 0.599 0.599

---

YThInAg after structural relaxation. Source: Alexandria via LeMat-Bulk, functional GGA-PBE.

- space group = F-43m
- energy (eV per atom) = -5.11

a = 5.346 Å, b = 5.346 Å, c = 5.346 Å
α = 60.00°, β = 60.00°, γ = 60.00°
Element x y z (fractional)
Y1 0.000 0.000 0.000
Th1 0.500 0.500 0.500
In1 0.750 0.750 0.750
Ag1 0.250 0.250 0.250

---

LiTiN3 after structural relaxation. Source: Alexandria via LeMat-Bulk, functional GGA-PBE.

- space group = Pm-3m
- formation energy (no corrections) (eV/atom) = 1.121
- energy (eV per atom) = -5.84

a = 3.462 Å, b = 3.462 Å, c = 3.462 Å
α = 90.00°, β = 90.00°, γ = 90.00°
Element x y z (fractional)
Li1 0.000 0.000 0.000
Ti1 0.500 0.500 0.500
N1 0.000 0.000 0.500
N2 0.000 0.500 0.000
N3 0.500 0.000 0.000

---

ErTmIr after structural relaxation. Source: Alexandria via LeMat-Bulk, functional GGA-PBE.

- energy above the most stable polymorph in this dataset (meV per atom) = 92
- space group = P2_1/c
- energy (eV per atom) = -6.63

a = 6.911 Å, b = 6.444 Å, c = 7.481 Å
α = 90.00°, β = 91.52°, γ = 90.00°
Element x y z (fractional)
Er1 0.073 0.234 0.392
Er2 0.073 0.266 0.892
Er3 0.927 0.734 0.108
Er4 0.927 0.766 0.608
Tm1 0.424 0.739 0.903
Tm2 0.424 0.761 0.403
Tm3 0.576 0.239 0.597
Tm4 0.576 0.261 0.097
Ir1 0.254 0.004 0.659
Ir2 0.254 0.496 0.159
Ir3 0.746 0.504 0.841
Ir4 0.746 0.996 0.341

---

Pr8Sm2Dy after structural relaxation. Source: Alexandria via LeMat-Bulk, functional GGA-PBE.

- space group = C2/m
- energy (eV per atom) = -4.60

a = 9.179 Å, b = 9.179 Å, c = 6.823 Å
α = 100.05°, β = 100.05°, γ = 44.25°
Element x y z (fractional)
Pr1 0.094 0.094 0.916
Pr2 0.152 0.676 0.596
Pr3 0.256 0.256 0.681
Pr4 0.324 0.848 0.404
Pr5 0.676 0.152 0.596
Pr6 0.744 0.744 0.319
Pr7 0.848 0.324 0.404
Pr8 0.906 0.906 0.084
Sm1 0.305 0.305 0.192
Sm2 0.695 0.695 0.808
Dy1 0.500 0.500 0.000

---

Tb2Er3Cd2 after structural relaxation. Source: Alexandria via LeMat-Bulk, functional GGA-PBE.

- energy above the most stable polymorph in this dataset (meV per atom) = 110
- space group = Cmmm
- energy (eV per atom) = -3.58

a = 11.602 Å, b = 11.602 Å, c = 3.440 Å
α = 90.00°, β = 90.00°, γ = 154.84°
Element x y z (fractional)
Tb1 0.210 0.790 0.000
Tb2 0.790 0.210 0.000
Er1 0.354 0.646 0.500
Er2 0.500 0.500 0.500
Er3 0.646 0.354 0.500
Cd1 0.069 0.931 0.000
Cd2 0.931 0.069 0.000

---

MnTcTe after structural relaxation. Source: Alexandria via LeMat-Bulk, functional GGA-PBE.

- energy above the most stable polymorph in this dataset (meV per atom) = 27
- space group = F-43m
- formation energy (no corrections) (eV/atom) = 0.207
- energy (eV per atom) = -7.35

a = 4.313 Å, b = 4.313 Å, c = 4.313 Å
α = 60.00°, β = 60.00°, γ = 60.00°
Element x y z (fractional)
Mn1 0.000 0.000 0.000
Tc1 0.750 0.750 0.750
Te1 0.500 0.500 0.500

---

Nd4TeOs after structural relaxation. Source: Alexandria via LeMat-Bulk, functional GGA-PBE.

- energy above the most stable polymorph in this dataset (meV per atom) = 80
- space group = C2/c
- formation energy (no corrections) (eV/atom) = -0.415
- energy (eV per atom) = -5.99

a = 8.796 Å, b = 8.796 Å, c = 7.064 Å
α = 107.69°, β = 107.69°, γ = 115.22°
Element x y z (fractional)
Nd1 0.066 0.640 0.868
Nd2 0.172 0.256 0.727
Nd3 0.256 0.172 0.227
Nd4 0.360 0.934 0.632
Nd5 0.640 0.066 0.368
Nd6 0.744 0.828 0.773
Nd7 0.828 0.744 0.273
Nd8 0.934 0.360 0.132
Te1 0.386 0.614 0.250
Te2 0.614 0.386 0.750
Os1 0.086 0.914 0.750
Os2 0.914 0.086 0.250

---

Bi4IrSe after structural relaxation. Source: Alexandria via LeMat-Bulk, functional GGA-PBE.

- space group = P-1
- formation energy (no corrections) (eV/atom) = 0.000
- energy (eV per atom) = -4.64

a = 6.665 Å, b = 7.119 Å, c = 9.270 Å
α = 70.52°, β = 71.14°, γ = 88.96°
Element x y z (fractional)
Bi1 0.022 0.238 0.185
Bi2 0.132 0.363 0.776
Bi3 0.188 0.700 0.399
Bi4 0.392 0.180 0.430
Bi5 0.608 0.820 0.570
Bi6 0.812 0.300 0.601
Bi7 0.868 0.637 0.224
Bi8 0.978 0.762 0.815
Ir1 0.000 0.000 0.500
Ir2 0.500 0.500 0.500
Se1 0.350 0.830 0.867
Se2 0.650 0.170 0.133